[1]
Entry from the Alexandria database: Nd3GeRh3 after structural relaxation (GGA-PBE).

Cell: 5.811 5.811 13.970 Å, 90.00 90.00 138.90°
Fractional positions:
Nd  0.011  0.989  0.750
Nd  0.288  0.712  0.607
Nd  0.288  0.712  0.893
Nd  0.712  0.288  0.107
Nd  0.712  0.288  0.393
Nd  0.989  0.011  0.250
Ge  0.000  0.000  0.000
Ge  0.000  0.000  0.500
Rh  0.267  0.733  0.250
Rh  0.428  0.572  0.088
Rh  0.428  0.572  0.412
Rh  0.572  0.428  0.588
Rh  0.572  0.428  0.912
Rh  0.733  0.267  0.750

N(E_F): 5.15 states/eV/f.u.
E_tot: -6.60 eV/atom
Crystal system: orthorhombic

=====

[2]
Entry from the Alexandria database: NdGe2Rh after structural relaxation (GGA-PBE).

Cell: 7.137 4.301 10.407 Å, 90.00 90.00 90.00°
Fractional positions:
Nd  0.164  0.250  0.131
Nd  0.336  0.750  0.631
Nd  0.664  0.250  0.369
Nd  0.836  0.750  0.869
Ge  0.138  0.250  0.826
Ge  0.194  0.250  0.428
Ge  0.306  0.750  0.928
Ge  0.362  0.750  0.326
Ge  0.638  0.250  0.674
Ge  0.694  0.250  0.072
Ge  0.806  0.750  0.572
Ge  0.862  0.750  0.174
Rh  0.011  0.750  0.385
Rh  0.489  0.250  0.885
Rh  0.511  0.750  0.115
Rh  0.989  0.250  0.615

N(E_F): 1.46 states/eV/f.u.
E_tot: -6.16 eV/atom
Crystal system: orthorhombic

=====

[3]
Entry from the Alexandria database: Nd3Ge3Rh2 after structural relaxation (GGA-PBE).

Cell: 8.137 14.604 5.942 Å, 90.00 90.00 90.00°
Fractional positions:
Nd  0.037  0.111  0.129
Nd  0.037  0.389  0.129
Nd  0.183  0.250  0.634
Nd  0.317  0.750  0.134
Nd  0.463  0.611  0.629
Nd  0.463  0.889  0.629
Nd  0.537  0.111  0.371
Nd  0.537  0.389  0.371
Nd  0.683  0.250  0.866
Nd  0.817  0.750  0.366
Nd  0.963  0.611  0.871
Nd  0.963  0.889  0.871
Ge  0.170  0.750  0.606
Ge  0.194  0.040  0.622
Ge  0.194  0.460  0.622
Ge  0.306  0.540  0.122
Ge  0.306  0.960  0.122
Ge  0.330  0.250  0.106
Ge  0.670  0.750  0.894
Ge  0.694  0.040  0.878
Ge  0.694  0.460  0.878
Ge  0.806  0.540  0.378
Ge  0.806  0.960  0.378
Ge  0.830  0.250  0.394
Rh  0.091  0.597  0.385
Rh  0.091  0.903  0.385
Rh  0.409  0.097  0.885
Rh  0.409  0.403  0.885
Rh  0.591  0.597  0.115
Rh  0.591  0.903  0.115
Rh  0.909  0.097  0.615
Rh  0.909  0.403  0.615

N(E_F): 6.21 states/eV/f.u.
E_tot: -6.21 eV/atom
Excess energy over the best structure of this formula in the dataset: 17.3 meV/atom
Crystal system: orthorhombic

=====

[4]
Entry from the Alexandria database: NdGe3Rh3 after structural relaxation (GGA-PBE).

Cell: 6.701 6.701 6.701 Å, 90.00 90.00 90.00°
Fractional positions:
Nd  0.000  0.000  0.000
Nd  0.500  0.500  0.500
Ge  0.000  0.250  0.500
Ge  0.000  0.750  0.500
Ge  0.250  0.500  0.000
Ge  0.500  0.000  0.250
Ge  0.500  0.000  0.750
Ge  0.750  0.500  0.000
Rh  0.000  0.500  0.250
Rh  0.000  0.500  0.750
Rh  0.250  0.000  0.500
Rh  0.500  0.250  0.000
Rh  0.500  0.750  0.000
Rh  0.750  0.000  0.500

N(E_F): 6.22 states/eV/f.u.
E_tot: -6.15 eV/atom
Excess energy over the best structure of this formula in the dataset: 263.4 meV/atom
Crystal system: cubic

=====

[5]
Entry from the Alexandria database: NdGe3Rh3 after structural relaxation (GGA-PBE).

Cell: 8.764 8.764 4.379 Å, 90.00 90.00 120.00°
Fractional positions:
Nd  0.333  0.667  0.250
Nd  0.667  0.333  0.750
Ge  0.060  0.715  0.750
Ge  0.285  0.344  0.750
Ge  0.344  0.060  0.250
Ge  0.656  0.940  0.750
Ge  0.715  0.656  0.250
Ge  0.940  0.285  0.250
Rh  0.053  0.424  0.750
Rh  0.371  0.947  0.750
Rh  0.424  0.371  0.250
Rh  0.576  0.629  0.750
Rh  0.629  0.053  0.250
Rh  0.947  0.576  0.250

N(E_F): 3.13 states/eV/f.u.
E_tot: -6.37 eV/atom
Excess energy over the best structure of this formula in the dataset: 49.2 meV/atom
Crystal system: hexagonal

=====

[6]
Entry from the Alexandria database: Nd2Ge7Rh12 after structural relaxation (GGA-PBE).

Cell: 9.992 9.992 3.940 Å, 90.00 90.00 120.00°
Fractional positions:
Nd  0.000  0.000  0.000
Nd  0.333  0.667  0.500
Ge  0.065  0.447  0.000
Ge  0.265  0.224  0.500
Ge  0.382  0.935  0.000
Ge  0.553  0.618  0.000
Ge  0.667  0.333  0.000
Ge  0.776  0.041  0.500
Ge  0.959  0.735  0.500
Rh  0.048  0.276  0.500
Rh  0.111  0.714  0.000
Rh  0.228  0.952  0.500
Rh  0.286  0.396  0.000
Rh  0.392  0.183  0.000
Rh  0.536  0.442  0.500
Rh  0.558  0.093  0.500
Rh  0.604  0.889  0.000
Rh  0.724  0.772  0.500
Rh  0.792  0.608  0.000
Rh  0.817  0.208  0.000
Rh  0.907  0.464  0.500

N(E_F): 11.30 states/eV/f.u.
E_tot: -6.90 eV/atom
Crystal system: hexagonal

=====

[7]
Entry from the Alexandria database: Nd2Ge3SbRh4 after structural relaxation (GGA-PBE).

Cell: 4.306 4.306 10.388 Å, 90.00 90.00 90.00°
Fractional positions:
Nd  0.000  0.500  0.246
Nd  0.500  0.000  0.754
Ge  0.000  0.500  0.875
Ge  0.500  0.000  0.125
Ge  0.500  0.500  0.500
Sb  0.000  0.000  0.500
Rh  0.000  0.000  0.000
Rh  0.000  0.500  0.639
Rh  0.500  0.000  0.361
Rh  0.500  0.500  0.000

N(E_F): 5.17 states/eV/f.u.
E_tot: -6.53 eV/atom
Crystal system: tetragonal

=====

[8]
Entry from the Alexandria database: Nd2ScGe3Rh4 after structural relaxation (GGA-PBE).

Cell: 4.161 4.161 10.980 Å, 90.00 90.00 90.00°
Fractional positions:
Nd  0.000  0.500  0.237
Nd  0.500  0.000  0.763
Sc  0.000  0.000  0.500
Ge  0.000  0.500  0.875
Ge  0.500  0.000  0.125
Ge  0.500  0.500  0.500
Rh  0.000  0.000  0.000
Rh  0.000  0.500  0.648
Rh  0.500  0.000  0.352
Rh  0.500  0.500  0.000

N(E_F): 6.68 states/eV/f.u.
E_tot: -6.83 eV/atom
Crystal system: tetragonal

=====

[9]
Entry from the Alexandria database: NdSiGeRh2 after structural relaxation (GGA-PBE).

Cell: 4.147 4.147 6.535 Å, 90.00 90.00 90.00°
Fractional positions:
Nd  0.000  0.000  0.000
Si  0.000  0.000  0.543
Ge  0.500  0.500  0.158
Rh  0.000  0.500  0.371
Rh  0.500  0.000  0.371

N(E_F): 2.42 states/eV/f.u.
E_tot: -6.50 eV/atom
Crystal system: tetragonal

=====

[10]
Entry from the Alexandria database: Nd2Si3GeRh4 after structural relaxation (GGA-PBE).

Cell: 4.220 4.220 9.865 Å, 90.00 90.00 90.00°
Fractional positions:
Nd  0.000  0.500  0.245
Nd  0.500  0.000  0.755
Si  0.000  0.000  0.000
Si  0.000  0.500  0.627
Si  0.500  0.000  0.373
Ge  0.500  0.500  0.000
Rh  0.000  0.000  0.500
Rh  0.000  0.500  0.870
Rh  0.500  0.000  0.130
Rh  0.500  0.500  0.500

N(E_F): 5.03 states/eV/f.u.
E_tot: -6.98 eV/atom
Crystal system: tetragonal

=====

[11]
Entry from the Alexandria database: Nd2Si4GeRh3 after structural relaxation (GGA-PBE).

Cell: 4.239 4.239 9.859 Å, 90.00 90.00 90.00°
Fractional positions:
Nd  0.000  0.500  0.243
Nd  0.500  0.000  0.757
Si  0.000  0.000  0.000
Si  0.000  0.500  0.641
Si  0.500  0.000  0.359
Si  0.500  0.500  0.000
Ge  0.000  0.000  0.500
Rh  0.000  0.500  0.881
Rh  0.500  0.000  0.119
Rh  0.500  0.500  0.500

N(E_F): 3.42 states/eV/f.u.
E_tot: -6.65 eV/atom
Crystal system: tetragonal

=====

[12]
Entry from the Alexandria database: Nd2Si2GeRh5 after structural relaxation (GGA-PBE).

Cell: 9.904 9.904 3.497 Å, 90.00 90.00 90.00°
Fractional positions:
Nd  0.177  0.323  0.000
Nd  0.323  0.823  0.000
Nd  0.677  0.177  0.000
Nd  0.823  0.677  0.000
Si  0.122  0.622  0.000
Si  0.378  0.122  0.000
Si  0.622  0.878  0.000
Si  0.878  0.378  0.000
Ge  0.000  0.000  0.000
Ge  0.500  0.500  0.000
Rh  0.000  0.500  0.500
Rh  0.067  0.785  0.500
Rh  0.215  0.067  0.500
Rh  0.285  0.567  0.500
Rh  0.433  0.285  0.500
Rh  0.500  0.000  0.500
Rh  0.567  0.715  0.500
Rh  0.715  0.433  0.500
Rh  0.785  0.933  0.500
Rh  0.933  0.215  0.500

N(E_F): 4.70 states/eV/f.u.
E_tot: -6.98 eV/atom
Crystal system: tetragonal

=====

Copy entry 8 word for word.
Entry from the Alexandria database: Nd2ScGe3Rh4 after structural relaxation (GGA-PBE).

Cell: 4.161 4.161 10.980 Å, 90.00 90.00 90.00°
Fractional positions:
Nd  0.000  0.500  0.237
Nd  0.500  0.000  0.763
Sc  0.000  0.000  0.500
Ge  0.000  0.500  0.875
Ge  0.500  0.000  0.125
Ge  0.500  0.500  0.500
Rh  0.000  0.000  0.000
Rh  0.000  0.500  0.648
Rh  0.500  0.000  0.352
Rh  0.500  0.500  0.000

N(E_F): 6.68 states/eV/f.u.
E_tot: -6.83 eV/atom
Crystal system: tetragonal